VASP calculation (PBE) on a relaxed structure of AcLaPm2Ho4.

a = 7.371 Å, b = 7.382 Å, c = 10.051 Å
α = 89.96°, β = 89.91°, γ = 89.64°
Space group P-1 (No. 2)
Inequivalent atoms, fractional coordinates:
Ac  0.000  0.000  0.000 (multiplicity 1)
Ac  0.000  0.500  0.500 (multiplicity 1)
La  0.000  0.000  0.500 (multiplicity 1)
La  0.500  0.000  0.500 (multiplicity 1)
Pm  0.000  0.500  0.000 (multiplicity 1)
Pm  0.500  0.000  0.000 (multiplicity 1)
Pm  0.500  0.500  0.000 (multiplicity 1)
Pm  0.500  0.500  0.500 (multiplicity 1)
Ho  0.255  0.252  0.752 (multiplicity 2)
Ho  0.255  0.748  0.248 (multiplicity 2)
Ho  0.256  0.252  0.248 (multiplicity 2)
Ho  0.256  0.748  0.752 (multiplicity 2)

## Properties
The total energy is -4.573 eV/atom. The calculation puts the formation energy at 0.033 eV per atom. The density of states at the Fermi level is 1.35 states/eV/atom.

VASP calculation (PBE) on a relaxed structure of YHfCuRu.

a = 6.687 Å, b = 6.687 Å, c = 6.687 Å
α = 90.00°, β = 90.00°, γ = 90.00°
Space group F-43m (No. 216)
Inequivalent atoms, fractional coordinates:
Y  0.000  0.000  0.000 (multiplicity 4)
Hf  0.000  0.000  0.500 (multiplicity 4)
Cu  0.250  0.250  0.250 (multiplicity 4)
Ru  0.250  0.250  0.750 (multiplicity 4)

## Properties
The total energy is -7.754 eV/atom. The calculation puts the formation energy at -0.307 eV per atom. The density of states at the Fermi level is 0.85 states/eV/atom.

VASP calculation (PBE) on a relaxed structure of Al3SiPd4.

a = 6.9621 Å, b = 6.9621 Å, c = 8.3424 Å
α = 90.00°, β = 90.00°, γ = 120.00°
Space group R3 (No. 146, hexagonal axes)
Inequivalent atoms, fractional coordinates:
Al  0.0415  0.7751  0.0000 (multiplicity 9)
Si  0.0000  0.0000  0.5387 (multiplicity 3)
Pd  0.0000  0.0000  0.2398 (multiplicity 3)
Pd  0.1038  0.4028  0.4278 (multiplicity 9)

## Properties
The total energy is -5.491 eV/atom. The raw formation energy comes out at -0.813 eV per atom. The density of states at the Fermi level is 0.25 states/eV/atom.

Which formula does entry 1 have?
AcLaPm2Ho4